4
Lattice="4.8396 0.0000 0.0000 0.0000 4.8396 0.0000 0.0000 0.0000 3.3267" Properties=species:S:1:pos:R:3 comment="GGA-PBE TcHgSe2, relaxed" energy_ev_per_atom=-3.786 sg="P4/mmm, No. 123" e_form_raw_ev_per_fu=2.494 pbc="T T T"
Tc 0.0000 0.0000 0.0000
Hg 2.4198 2.4198 0.0000
Se 0.0000 2.4198 1.6633
Se 2.4198 0.0000 1.6633



8
Lattice="-2.6504 2.6504 6.2795 2.6504 -2.6504 6.2795 2.6504 2.6504 -6.2795" Properties=species:S:1:pos:R:3 comment="GGA-PBE TcHgSe2, relaxed" energy_ev_per_atom=-4.199 sg="I4_1/amd, No. 141" e_form_raw_ev_per_fu=0.841 pbc="T T T"
Tc 2.6504 1.3252 1.5699
Tc 0.0000 1.3252 4.7096
Hg 2.6504 -1.3252 4.7096
Hg 0.0000 3.9756 1.5699
Se 2.6504 1.3252 -0.9360
Se 0.0000 1.3252 2.2037
Se 2.6504 1.3252 4.0758
Se 0.0000 1.3252 7.2155